{
  "formula": "Ho2PuBi",
  "functional": "PBE",
  "state": "relaxed",
  "lattice": [[-2.611, 0.275, -3.794], [2.246, -3.991, -1.835], [-3.391, -2.885, 2.125]],
  "species": ["Ho", "Ho", "Bi", "Pu"],
  "frac_coords": [[0.000, 0.000, 0.500], [0.000, 0.500, 0.000], [0.500, 0.000, 0.000], [0.500, 0.500, 0.500]],
  "de_polymorph_ev_per_atom": 0.000,
  "magnetic_moment_mub_per_cell": 6.60,
  "delta_e_f_mev_per_atom": -260
}

---

{
  "formula": "Mg2IrRh6",
  "functional": "PBE",
  "state": "relaxed",
  "lattice": [[4.625, 0.050, 0.721], [2.033, 3.971, 1.550], [0.015, -0.062, 7.335]],
  "species": ["Rh", "Rh", "Rh", "Rh", "Rh", "Rh", "Mg", "Mg", "Ir"],
  "frac_coords": [[0.680, 0.644, 0.500], [0.320, 0.356, 0.500], [0.168, 0.839, 0.163], [0.832, 0.498, 0.163], [0.832, 0.161, 0.837], [0.168, 0.502, 0.837], [0.500, 0.839, 0.822], [0.500, 0.161, 0.178], [0.000, 0.000, 0.500]],
  "magnetic_moment_mub_per_cell": 0.00,
  "delta_e_f_mev_per_atom": -33
}

---

{
  "formula": "Tl2CoSi",
  "functional": "PBE",
  "state": "relaxed",
  "lattice": [[-2.067, -0.271, 2.351], [1.986, -1.896, 1.528], [3.312, 6.412, 3.652]],
  "species": ["Si", "Tl", "Tl", "Co"],
  "frac_coords": [[0.500, 0.500, 0.750], [0.000, 0.000, 0.466], [0.000, 0.000, 0.034], [0.500, 0.500, 0.250]],
  "de_polymorph_ev_per_atom": 0.562,
  "magnetic_moment_mub_per_cell": 1.10,
  "raw_formation_energy_kj_per_mol_fu": 276
}

---

{
  "formula": "Be2RhAu",
  "functional": "PBE",
  "state": "relaxed",
  "lattice": [[-3.068, -2.625, -0.168], [-1.447, -1.638, 3.399], [-3.651, 1.069, 1.363]],
  "species": ["Be", "Be", "Rh", "Au"],
  "frac_coords": [[0.250, 0.250, 0.250], [0.750, 0.750, 0.750], [0.000, 0.000, 0.000], [0.500, 0.500, 0.500]],
  "de_polymorph_ev_per_atom": 0.043,
  "magnetic_moment_mub_per_cell": 0.00,
  "delta_e_f_mev_per_atom": -423
}

---

{
  "formula": "ZnCd2O3",
  "functional": "PBE",
  "state": "relaxed",
  "lattice": [[3.240, 0.000, 0.000], [0.000, 7.348, 0.000], [0.000, 0.000, 12.860]],
  "species": ["O", "O", "O", "O", "O", "O", "O", "O", "O", "O", "O", "O", "Zn", "Zn", "Zn", "Zn", "Cd", "Cd", "Cd", "Cd", "Cd", "Cd", "Cd", "Cd"],
  "frac_coords": [[0.250, 0.647, 0.931], [0.750, 0.576, 0.593], [0.750, 0.853, 0.431], [0.250, 0.424, 0.407], [0.250, 0.924, 0.093], [0.750, 0.076, 0.907], [0.750, 0.353, 0.069], [0.250, 0.865, 0.740], [0.250, 0.365, 0.760], [0.250, 0.147, 0.569], [0.750, 0.635, 0.240], [0.750, 0.135, 0.260], [0.750, 0.586, 0.402], [0.250, 0.914, 0.902], [0.750, 0.086, 0.098], [0.250, 0.414, 0.598], [0.250, 0.379, 0.224], [0.250, 0.827, 0.563], [0.750, 0.173, 0.437], [0.250, 0.879, 0.276], [0.250, 0.327, 0.937], [0.750, 0.621, 0.776], [0.750, 0.121, 0.724], [0.750, 0.673, 0.063]],
  "de_polymorph_ev_per_atom": 0.090,
  "magnetic_moment_mub_per_cell": 0.00,
  "raw_formation_energy_kj_per_mol_fu": -602
}

---

{
  "formula": "BaAsH",
  "functional": "PBE",
  "state": "relaxed",
  "lattice": [[-6.394, 1.584, -3.382], [2.699, -2.384, -2.991], [4.691, -5.320, 4.821]],
  "species": ["H", "H", "Ba", "Ba", "As", "As"],
  "frac_coords": [[0.261, 0.256, 0.250], [0.739, 0.744, 0.750], [0.450, 0.850, 0.249], [0.550, 0.150, 0.751], [0.153, 0.450, 0.747], [0.847, 0.550, 0.253]],
  "de_polymorph_ev_per_atom": 0.050,
  "magnetic_moment_mub_per_cell": 0.00
}

---

{
  "formula": "SiRu2Rh",
  "functional": "PBE",
  "state": "relaxed",
  "lattice": [[-0.021, -2.788, -0.593], [1.738, 0.458, -2.213], [5.255, -0.879, 3.945]],
  "species": ["Rh", "Ru", "Ru", "Si"],
  "frac_coords": [[0.500, 0.500, 0.750], [0.000, 0.000, 0.466], [0.000, 0.000, 0.034], [0.500, 0.500, 0.250]],
  "magnetic_moment_mub_per_cell": 0.00,
  "raw_formation_energy_kj_per_mol_fu": -103
}

---

{
  "formula": "YNiTe",
  "functional": "PBE",
  "state": "relaxed",
  "lattice": [[5.825, 0.000, 0.000], [0.000, 6.076, -0.101], [0.000, -1.380, 3.939]],
  "species": ["Y", "Y", "Te", "Te", "Ni", "Ni"],
  "frac_coords": [[0.250, 0.714, 0.123], [0.750, 0.286, 0.877], [0.250, 0.145, 0.833], [0.750, 0.855, 0.167], [0.250, 0.389, 0.455], [0.750, 0.611, 0.545]],
  "magnetic_moment_mub_per_cell": 0.00,
  "raw_formation_energy_kj_per_mol_fu": -184
}